VASP calculation (PBE+U) on a relaxed Fe3OF7 crystal.

Excess energy over the best structure of this formula in the dataset in meV per atom: 4
N(E_F) in states/eV/cell: 0.00
Raw total energy in eV/cell: -59.2
Symmetry: R3m

abc: 5.888 5.888 5.888
angles: 63.12 63.12 63.12
Site moments in Bohr magnetons follow the coordinates.
Positions (direct):
F  0.580  0.127  0.127  0.14
F  0.127  0.127  0.580  0.14
O  0.614  0.614  0.614  0.44
Fe  0.386  0.867  0.386  4.42
F  0.136  0.136  0.136  0.12
F  0.623  0.623  0.164  0.16
Fe  0.867  0.386  0.386  4.42
F  0.127  0.580  0.127  0.14
Fe  0.386  0.386  0.867  4.42
F  0.164  0.623  0.623  0.16
F  0.623  0.164  0.623  0.16